Record 1
Crystalline Ho6TlSn2Se3 at its relaxed geometry. Source: Alexandria via LeMat-Bulk, functional PBE.

a = 18.998 Å, b = 4.189 Å, c = 8.572 Å
α = 90.00°, β = 111.29°, γ = 90.00°
Space group C2/m (No. 12)
One atom of each set of equivalent atoms:
1 Ho 0.010 0.000 0.234 (multiplicity 4)
2 Ho 0.167 0.500 0.073 (multiplicity 4)
3 Ho 0.173 0.500 0.563 (multiplicity 4)
4 Tl 0.000 0.500 0.500 (multiplicity 2)
5 Sn 0.157 0.000 0.806 (multiplicity 4)
6 Se 0.000 0.500 0.000 (multiplicity 2)
7 Se 0.169 0.000 0.320 (multiplicity 4)

Results
E_form (uncorrected) in eV per atom: -1.134
Final energy in eV per atom: -5.1583
N(E_F) in states/eV/f.u.: 5.309

---

Record 2
Crystalline CePr2Sn3Rh4 at its relaxed geometry. Source: Alexandria via LeMat-Bulk, functional PBE.

a = 4.532 Å, b = 4.532 Å, c = 11.099 Å
α = 90.00°, β = 90.00°, γ = 90.00°
Space group P-4m2 (No. 115)
One atom of each set of equivalent atoms:
1 Ce 0.000 0.000 0.000 (multiplicity 1)
2 Pr 0.000 0.500 0.723 (multiplicity 2)
3 Sn 0.000 0.500 0.373 (multiplicity 2)
4 Sn 0.500 0.500 0.000 (multiplicity 1)
5 Rh 0.000 0.000 0.500 (multiplicity 1)
6 Rh 0.000 0.500 0.137 (multiplicity 2)
7 Rh 0.500 0.500 0.500 (multiplicity 1)

Results
Formation energy from the elements in eV/atom: -0.7475
Final energy in eV per atom: -6.4382
N(E_F) in states/eV/f.u.: 5.855

---

Record 3
Crystalline Ho4ZnIr3 at its relaxed geometry. Source: Alexandria via LeMat-Bulk, functional PBE.

a = 4.8642 Å, b = 4.8642 Å, c = 23.8731 Å
α = 90.00°, β = 90.00°, γ = 120.00°
Space group R-3m (No. 166, hexagonal axes)
One atom of each set of equivalent atoms:
1 Ho 0.0000 0.0000 0.1224 (multiplicity 6)
2 Ho 0.0000 0.0000 0.3727 (multiplicity 6)
3 Zn 0.0000 0.0000 0.5000 (multiplicity 3)
4 Ir 0.0000 0.0000 0.0000 (multiplicity 3)
5 Ir 0.0000 0.0000 0.2480 (multiplicity 6)

Results
Formation energy from the elements in eV/atom: -0.7718
Final energy in eV per atom: -6.5428
N(E_F) in states/eV/f.u.: 2.247

---

Record 4
Crystalline Nb2WSe5 at its relaxed geometry. Source: Alexandria via LeMat-Bulk, functional PBE.

a = 5.014 Å, b = 11.872 Å, c = 11.387 Å
α = 90.00°, β = 90.00°, γ = 90.00°
Space group Cmcm (No. 63)
One atom of each set of equivalent atoms:
1 Nb 0.000 0.150 0.112 (multiplicity 8)
2 W 0.000 0.242 0.750 (multiplicity 4)
3 Se 0.000 0.064 0.613 (multiplicity 8)
4 Se 0.000 0.326 0.250 (multiplicity 4)
5 Se 0.000 0.335 0.546 (multiplicity 8)

Results
E_form (uncorrected) in eV per atom: -0.356
Final energy in eV per atom: -6.6705
N(E_F) in states/eV/f.u.: 3.954

---

Record 5
Crystalline Cs2SbAu3 at its relaxed geometry. Source: Alexandria via LeMat-Bulk, functional PBE.

a = 9.430 Å, b = 11.591 Å, c = 16.305 Å
α = 90.00°, β = 90.00°, γ = 90.00°
Space group Fmmm (No. 69)
One atom of each set of equivalent atoms:
1 Cs 0.000 0.242 0.000 (multiplicity 8)
2 Cs 0.250 0.250 0.250 (multiplicity 8)
3 Sb 0.000 0.000 0.337 (multiplicity 8)
4 Au 0.000 0.000 0.171 (multiplicity 8)
5 Au 0.249 0.000 0.084 (multiplicity 16)

Results
E_form (uncorrected) in eV per atom: -0.280
Final energy in eV per atom: -2.8904
N(E_F) in states/eV/f.u.: 2.591

---

Record 6
Crystalline TcIrRh2 at its relaxed geometry. Source: Alexandria via LeMat-Bulk, functional PBE.

a = 7.347 Å, b = 6.702 Å, c = 4.856 Å
α = 90.00°, β = 90.00°, γ = 90.00°
Space group Cmcm (No. 63)
One atom of each set of equivalent atoms:
1 Tc 0.000 0.000 0.000 (multiplicity 4)
2 Ir 0.000 0.351 0.250 (multiplicity 4)
3 Rh 0.181 0.317 0.750 (multiplicity 8)

Results
Energy above the most stable polymorph in this dataset in kJ per mole of atoms: 23.7
Formation energy from the elements in eV/atom: 0.1459
Final energy in eV per atom: -8.3365
N(E_F) in states/eV/f.u.: 4.988